w.
First-principles (PBE) data for a relaxed YB2Pd crystal, as listed in Alexandria.

abc: 7.9337 7.9337 7.9337
angles: 150.53 150.53 42.16
With the nearest neighbours (Å) after each atom.
Atoms (fractional coordinates):
Y1 0.3750 0.6250 0.7500  4 Pd 2.85, 8 B 2.92
Y2 0.6250 0.3750 0.2500  4 Pd 2.85, 8 B 2.92
B1 0.0000 0.0000 0.0000  2 B 2.02, 2 Pd 2.11
B2 0.0000 0.0000 0.5000  2 B 2.02, 2 Pd 2.11
B3 0.0000 0.5000 0.0000  2 B 2.02, 2 Pd 2.11
B4 0.5000 0.0000 0.5000  2 B 2.02, 2 Pd 2.11
Pd1 0.1250 0.8750 0.2500  4 B 2.11
Pd2 0.8750 0.1250 0.7500  4 B 2.11

calculated volume = 15.068 A^3/atom
crystal system = tetragonal

=====

x.
First-principles (PBE) data for a relaxed YB2Pd crystal, as listed in Alexandria.

abc: 4.2326 4.2326 4.2326
angles: 60.00 60.00 60.00
With the nearest neighbours (Å) after each atom.
Atoms (fractional coordinates):
Y1 0.0000 0.0000 0.0000  8 B 2.59
B1 0.2500 0.2500 0.2500  4 Pd 2.59, 4 Y 2.59
B2 0.7500 0.7500 0.7500  4 Pd 2.59, 4 Y 2.59
Pd1 0.5000 0.5000 0.5000  8 B 2.59

calculated volume = 13.405 A^3/atom
crystal system = cubic

=====

Relative energies in meV/atom: w 0; x 402

=====

w.
First-principles (PBE) data for a relaxed YB2Pd7 crystal, as listed in Alexandria.

abc: 6.4554 6.4554 4.2011
angles: 90.00 90.00 112.33
With the nearest neighbours (Å) after each atom.
Atoms (fractional coordinates):
Y1 0.0000 0.0000 0.0000  8 Pd 2.89
B1 0.2906 0.7094 0.5000  7 Pd 2.13-2.36
B2 0.7094 0.2906 0.5000  7 Pd 2.13-2.36
Pd1 0.0556 0.3254 0.5000  2 B 2.16-2.36
Pd2 0.3239 0.6761 0.0000  2 B 2.13
Pd3 0.3254 0.0556 0.5000  2 B 2.16-2.36
Pd4 0.5000 0.5000 0.5000  2 B 2.25
Pd5 0.6746 0.9444 0.5000  2 B 2.16-2.36
Pd6 0.6761 0.3239 0.0000  2 B 2.13
Pd7 0.9444 0.6746 0.5000  2 B 2.16-2.36

calculated volume = 16.194 A^3/atom
crystal system = orthorhombic

=====

x.
First-principles (PBE) data for a relaxed YB2Pd7 crystal, as listed in Alexandria.

abc: 5.9906 5.9906 5.9906
angles: 60.00 60.00 60.00
With the nearest neighbours (Å) after each atom.
Atoms (fractional coordinates):
Y1 0.0000 0.0000 0.0000  12 Pd 3.00
B1 0.2500 0.2500 0.2500  6 Pd 2.12
B2 0.7500 0.7500 0.7500  6 Pd 2.12
Pd1 0.0000 0.0000 0.5000  2 B 2.12
Pd2 0.0000 0.5000 0.0000  2 B 2.12
Pd3 0.0000 0.5000 0.5000  2 B 2.12
Pd4 0.5000 0.0000 0.0000  2 B 2.12
Pd5 0.5000 0.0000 0.5000  2 B 2.12
Pd6 0.5000 0.5000 0.0000  2 B 2.12
Pd7 0.5000 0.5000 0.5000  12 Pd 3.00

calculated volume = 15.202 A^3/atom
crystal system = cubic

=====

Relative energies in meV/atom: w 77; x 0

=====

w.
First-principles (PBE) data for a relaxed ZnBPd3 crystal, as listed in Alexandria.

abc: 4.1541 4.1541 4.1541
angles: 90.00 90.00 90.00
With the nearest neighbours (Å) after each atom.
Atoms (fractional coordinates):
Zn1 0.0000 0.0000 0.0000  12 Pd 2.94
B1 0.5000 0.5000 0.5000  6 Pd 2.08
Pd1 0.0000 0.5000 0.5000  2 B 2.08
Pd2 0.5000 0.0000 0.5000  2 B 2.08
Pd3 0.5000 0.5000 0.0000  2 B 2.08

calculated volume = 14.337 A^3/atom
crystal system = cubic

=====

x.
First-principles (PBE) data for a relaxed ZnBPd3 crystal, as listed in Alexandria.

abc: 4.5979 4.5979 4.5979
angles: 90.00 90.00 90.00
With the nearest neighbours (Å) after each atom.
Atoms (fractional coordinates):
Zn1 0.0000 0.0000 0.0000  6 Pd 2.30
B1 0.5000 0.5000 0.5000  12 Pd 3.25
Pd1 0.0000 0.0000 0.5000  2 Zn 2.30
Pd2 0.0000 0.5000 0.0000  2 Zn 2.30
Pd3 0.5000 0.0000 0.0000  2 Zn 2.30

calculated volume = 19.441 A^3/atom
crystal system = cubic

=====

Relative energies in meV/atom: w 0; x 1586

=====

w.
First-principles (PBE) data for a relaxed Zn3BPd crystal, as listed in Alexandria.

abc: 4.7671 4.7671 4.7671
angles: 90.00 90.00 90.00
With the nearest neighbours (Å) after each atom.
Atoms (fractional coordinates):
Zn1 0.0000 0.0000 0.5000  2 Pd 2.38
Zn2 0.0000 0.5000 0.0000  2 Pd 2.38
Zn3 0.5000 0.0000 0.0000  2 Pd 2.38
B1 0.5000 0.5000 0.5000  12 Zn 3.37
Pd1 0.0000 0.0000 0.0000  6 Zn 2.38

calculated volume = 21.667 A^3/atom
crystal system = cubic

=====

x.
First-principles (PBE) data for a relaxed Zn3BPd crystal, as listed in Alexandria.

abc: 4.1196 4.1196 4.1196
angles: 90.00 90.00 90.00
With the nearest neighbours (Å) after each atom.
Atoms (fractional coordinates):
Zn1 0.0000 0.0000 0.5000  2 B 2.06
Zn2 0.0000 0.5000 0.0000  2 B 2.06
Zn3 0.5000 0.0000 0.0000  2 B 2.06
B1 0.0000 0.0000 0.0000  6 Zn 2.06
Pd1 0.5000 0.5000 0.5000  12 Zn 2.91

calculated volume = 13.983 A^3/atom
crystal system = cubic

=====

Relative energies in meV/atom: w 841; x 0

=====

w.
First-principles (PBE) data for a relaxed ZnBPd4 crystal, as listed in Alexandria.

abc: 5.7663 5.7663 6.6013
angles: 109.33 109.33 103.71
With the nearest neighbours (Å) after each atom.
Atoms (fractional coordinates):
Zn1 0.1270 0.8730 0.7500  8 Pd 2.54-2.57
Zn2 0.8730 0.1270 0.2500  8 Pd 2.54-2.57
B1 0.2918 0.7082 0.2500  6 Pd 2.10-2.21
B2 0.7082 0.2918 0.7500  6 Pd 2.10-2.21
Pd1 0.0611 0.2805 0.9956  2 B 2.17-2.21
Pd2 0.2805 0.0611 0.4956  2 B 2.17-2.21
Pd3 0.2823 0.5625 0.5003  1 B 2.10
Pd4 0.4375 0.7177 0.9997  1 B 2.10
Pd5 0.5625 0.2823 0.0003  1 B 2.10
Pd6 0.7177 0.4375 0.4997  1 B 2.10
Pd7 0.7195 0.9389 0.5044  2 B 2.17-2.21
Pd8 0.9389 0.7195 0.0044  2 B 2.17-2.21

calculated volume = 15.004 A^3/atom
crystal system = monoclinic

=====

x.
First-principles (PBE) data for a relaxed ZnBPd4 crystal, as listed in Alexandria.

abc: 6.1159 6.1159 4.8702
angles: 99.91 99.91 108.44
With the nearest neighbours (Å) after each atom.
Atoms (fractional coordinates):
Zn1 0.1186 0.8814 0.7500  8 Pd 2.58-2.71
Zn2 0.8814 0.1186 0.2500  8 Pd 2.58-2.71
B1 0.4975 0.5025 0.7500  4 Pd 2.14-2.15
B2 0.5025 0.4975 0.2500  4 Pd 2.14-2.15
Pd1 0.1131 0.3067 0.8740  2 B 2.51-2.53, 2 Zn 2.58-2.70, 2 Pd 2.79-2.80
Pd2 0.2302 0.5526 0.4494  2 B 2.14-2.15
Pd3 0.3067 0.1131 0.3740  2 B 2.51-2.53, 2 Zn 2.58-2.70, 2 Pd 2.79-2.80
Pd4 0.4474 0.7698 0.0506  2 B 2.14-2.15
Pd5 0.5526 0.2302 0.9494  2 B 2.14-2.15
Pd6 0.6933 0.8869 0.6260  2 B 2.51-2.53, 2 Zn 2.58-2.70, 2 Pd 2.79-2.80
Pd7 0.7698 0.4474 0.5506  2 B 2.14-2.15
Pd8 0.8869 0.6933 0.1260  2 B 2.51-2.53, 2 Zn 2.58-2.70, 2 Pd 2.79-2.80

calculated volume = 13.763 A^3/atom
crystal system = monoclinic

=====

Relative energies in meV/atom: w 58; x 0

=====

w.
First-principles (PBE) data for a relaxed PmB4 crystal, as listed in Alexandria.

abc: 4.7845 4.7845 4.7845
angles: 90.00 90.00 90.00
With the nearest neighbours (Å) after each atom.
Atoms (fractional coordinates):
Pm1 0.0000 0.0000 0.0000  6 B 2.39
B1 0.0000 0.0000 0.5000  2 Pm 2.39
B2 0.0000 0.5000 0.0000  2 Pm 2.39
B3 0.5000 0.0000 0.0000  2 Pm 2.39
B4 0.5000 0.5000 0.5000  12 B 3.38

calculated volume = 21.905 A^3/atom
crystal system = cubic

=====

x.
First-principles (PBE) data for a relaxed PmB4 crystal, as listed in Alexandria.

abc: 7.2079 7.2079 4.0957
angles: 90.00 90.00 90.00
With the nearest neighbours (Å) after each atom.
Atoms (fractional coordinates):
Pm1 0.1826 0.3174 0.0000  16 B 2.77-2.91
Pm2 0.3174 0.8174 0.0000  16 B 2.77-2.91
Pm3 0.6826 0.1826 0.0000  16 B 2.77-2.91
Pm4 0.8174 0.6826 0.0000  16 B 2.77-2.91
B1 0.0000 0.0000 0.2048  5 B 1.68-1.77
B2 0.0000 0.0000 0.7952  5 B 1.68-1.77
B3 0.0390 0.8253 0.5000  5 B 1.75-1.82
B4 0.0877 0.5877 0.5000  3 B 1.75-1.79
B5 0.1747 0.0390 0.5000  5 B 1.75-1.82
B6 0.3253 0.5390 0.5000  5 B 1.75-1.82
B7 0.4123 0.0877 0.5000  3 B 1.75-1.79
B8 0.4610 0.3253 0.5000  5 B 1.75-1.82
B9 0.5000 0.5000 0.2048  5 B 1.68-1.77
B10 0.5000 0.5000 0.7952  5 B 1.68-1.77
B11 0.5390 0.6747 0.5000  5 B 1.75-1.82
B12 0.5877 0.9123 0.5000  3 B 1.75-1.79
B13 0.6747 0.4610 0.5000  5 B 1.75-1.82
B14 0.8253 0.9610 0.5000  5 B 1.75-1.82
B15 0.9123 0.4123 0.5000  3 B 1.75-1.79
B16 0.9610 0.1747 0.5000  5 B 1.75-1.82

calculated volume = 10.640 A^3/atom
crystal system = tetragonal

=====

Relative energies in meV/atom: w 3778; x 0